[1]
This record from Alexandria via LeMat-Bulk describes a relaxed structure of Zr2TcGe. The functional is PBE.

Computed properties:
The formation energy comes out at -479 meV per atom.

abc: 3.4597 3.4597 6.1517
angles: 90.00 90.00 90.00
Positions (direct):
1 Zr 0.0000 0.0000 0.2497
2 Zr 0.0000 0.0000 0.7503
3 Ge 0.5000 0.5000 0.5000
4 Tc 0.5000 0.5000 0.0000

[2]
This record from Alexandria via LeMat-Bulk describes a relaxed structure of ZrTc4Ge2. The functional is PBE.

Computed properties:
The formation energy comes out at -272 meV per atom.

abc: 3.9754 4.0422 7.4705
angles: 105.70 90.00 90.00
Positions (direct):
1 Tc 0.0000 0.3053 0.6107
2 Ge 0.5000 0.5838 0.1677
3 Zr 0.0000 0.0000 0.0000
4 Ge 0.5000 0.4162 0.8323
5 Tc 0.5000 0.1876 0.3751
6 Tc 0.0000 0.6947 0.3893
7 Tc 0.5000 0.8124 0.6249

Total moment
In order: 0.00 0.00
Unit: μB/f.u.
Fermi-level density of states
In order: 0.6703 0.8374
Unit: states/eV per atom